Record 1
Li4AlInHg2 PBE relaxed; energy = -17.2 eV/cell; SG = No. 115
1.0
4.608 0.000 0.000
0.000 4.608 0.000
0.000 0.000 6.591
Al Hg In Li
1 2 1 4
direct
0.000 0.000 0.000
0.000 0.500 0.227
0.500 0.000 0.773
0.500 0.500 0.500
0.500 0.500 0.000
0.500 0.000 0.240
0.000 0.000 0.500
0.000 0.500 0.760

***

Record 2
Li4Al2InHg PBE relaxed; energy = -20.3 eV/cell; SG = No. 115
1.0
4.563 0.000 0.000
0.000 4.563 0.000
0.000 0.000 6.450
Al Hg In Li
2 1 1 4
direct
0.000 0.500 0.241
0.500 0.000 0.759
0.500 0.500 0.000
0.000 0.000 0.500
0.000 0.000 0.000
0.500 0.000 0.240
0.500 0.500 0.500
0.000 0.500 0.760